Record 1
Be2TcMo (meta-GGA SCAN, PBEsol geometry); ΔE to the lowest computed polymorph = 309 meV per atom; symmetry = I4/mmm, No. 139; size of the total moment = 0.000 μB/f.u.
1.0
-3.3406 -1.5403 0.7447
1.7483 -0.9964 -3.6759
1.5185 -3.4220 -0.2663
Be Mo Tc
2 1 1
Cartesian
-0.4924 -4.2199 -1.4792
0.4186 -1.7388 -1.7184
-0.9111 -2.4811 0.2392
0.0000 0.0000 0.0000


Record 2
Be2TcMo (meta-GGA SCAN, PBEsol geometry); ΔE to the lowest computed polymorph = 261 meV per atom; symmetry = P4/mmm, No. 123; size of the total moment = 0.000 μB/f.u.
1.0
2.9963 0.0000 0.0000
0.0000 2.9963 0.0000
0.0000 0.0000 5.0705
Be Mo Tc
2 1 1
Cartesian
0.0000 0.0000 1.3773
0.0000 0.0000 3.6932
1.4981 1.4981 0.0000
1.4981 1.4981 2.5352


Record 3
BeTeMo2 (meta-GGA SCAN, PBEsol geometry); formation energy from raw total energies = 473 meV per atom; ΔE to the lowest computed polymorph = 0 meV per atom; symmetry = I-4m2, No. 119; size of the total moment = 0.000 μB/f.u.
1.0
-1.2946 -3.6636 -0.3883
3.6816 -1.3016 0.0064
-1.3317 2.1110 4.1579
Mo Te Be
2 1 1
Cartesian
-0.7164 -2.0176 1.7893
0.0000 0.0000 0.0000
1.1935 -2.4826 -0.1910
1.7717 -0.8366 1.9867


Record 4
BeTeMo (meta-GGA SCAN, PBEsol geometry); formation energy from raw total energies = 76 meV per atom; ΔE to the lowest computed polymorph = 0 meV per atom; symmetry = I4mm, No. 107; size of the total moment = 0.000 μB/f.u.
1.0
3.3049 0.0000 0.0000
0.0000 3.3049 0.0000
-1.6524 -1.6524 4.1048
Te Mo Be
1 1 1
Cartesian
0.0000 0.0000 2.7172
1.6524 1.6524 1.3106
0.0000 0.0000 0.0770


Record 5
BeTeMo (meta-GGA SCAN, PBEsol geometry); formation energy from raw total energies = 901 meV per atom; ΔE to the lowest computed polymorph = 824 meV per atom; symmetry = F-43m, No. 216; size of the total moment = 0.001 μB/f.u.
1.0
4.2732 0.0000 0.0000
2.1366 3.7007 0.0000
2.1366 1.2336 3.4891
Be Mo Te
1 1 1
Cartesian
0.0000 0.0000 0.0000
4.2732 2.4671 1.7445
2.1366 1.2336 0.8723


Record 6
BeTeMo2 (meta-GGA SCAN, PBEsol geometry); formation energy from raw total energies = 483 meV per atom; ΔE to the lowest computed polymorph = 9 meV per atom; symmetry = Fm-3m, No. 225; size of the total moment = 0.001 μB/f.u.
1.0
4.3974 0.0000 0.0000
2.1987 3.8083 0.0000
2.1987 1.2694 3.5905
Be Te Mo
1 1 2
Cartesian
0.0000 0.0000 0.0000
4.3974 2.5389 1.7952
6.5961 3.8083 2.6929
2.1987 1.2694 0.8976


Record 7
Be2TeMo (meta-GGA SCAN, PBEsol geometry); formation energy from raw total energies = 469 meV per atom; symmetry = Cmmm, No. 65; size of the total moment = 0.000 μB/f.u.
1.0
-3.0281 0.1892 1.4711
-0.9894 -3.5626 -1.5784
1.5427 -1.5477 3.3745
Te Mo Be
1 1 2
Cartesian
-1.2374 -2.4606 1.6336
-1.5141 0.0946 0.7356
-0.4947 -1.7813 -0.7892
0.7714 -0.7738 1.6872


Record 8
Be2TeMo (meta-GGA SCAN, PBEsol geometry); formation energy from raw total energies = 604 meV per atom; symmetry = Cmmm, No. 65; size of the total moment = 0.000 μB/f.u.
1.0
-1.6810 -2.2795 0.0356
2.3289 -0.8495 -1.3704
3.2664 -2.2998 6.9766
Te Mo Be
1 1 2
Cartesian
0.3239 -1.5645 -0.6674
1.9571 -2.7144 2.8209
0.9673 -0.6811 2.0661
2.2990 -1.6187 4.9105


Record 9
TiBe2Mo (meta-GGA SCAN, PBEsol geometry); symmetry = Fm-3m, No. 225; size of the total moment = 0.001 μB/f.u.; total energy = -59.624 eV for the cell shown
1.0
4.0692 0.0000 0.0000
2.0346 3.5240 0.0000
2.0346 1.1747 3.3225
Ti Be Mo
1 2 1
Cartesian
0.0000 0.0000 0.0000
6.1038 3.5240 2.4919
2.0346 1.1747 0.8306
4.0692 2.3493 1.6612


Record 10
Y2TiBeMo (meta-GGA SCAN, PBEsol geometry); symmetry = P4/mmm, No. 123; size of the total moment = 2.090 μB/f.u.; total energy = -107.633 eV for the cell shown
1.0
-0.2717 -3.6759 2.1946
4.5189 0.8881 2.0470
-2.2083 2.4414 3.8159
Y Be Mo Ti
2 1 1 1
Cartesian
2.2594 0.4440 1.0235
-1.1042 1.2207 1.9080
0.0000 0.0000 0.0000
-0.1359 -1.8379 1.0973
1.0194 -0.1732 4.0287


Record 11
Be2TlMo (meta-GGA SCAN, PBEsol geometry); ΔE to the lowest computed polymorph = 0 meV per atom; symmetry = P4mm, No. 99; size of the total moment = 0.696 μB/f.u.
1.0
2.9451 0.0000 0.0000
0.0000 2.9451 0.0000
0.0000 0.0000 6.4113
Mo Tl Be
1 1 2
Cartesian
0.0000 0.0000 2.7989
1.4726 1.4726 4.9564
1.4726 1.4726 1.4164
0.0000 0.0000 0.4453


Record 12
BeTl2Mo (meta-GGA SCAN, PBEsol geometry); ΔE to the lowest computed polymorph = 78 meV per atom; symmetry = P4/mmm, No. 123; size of the total moment = 0.000 μB/f.u.
1.0
2.9299 0.0000 0.0000
0.0000 2.9299 0.0000
0.0000 0.0000 8.4861
Tl Mo Be
2 1 1
Cartesian
0.0000 0.0000 6.4886
0.0000 0.0000 1.9975
1.4650 1.4650 4.2430
1.4650 1.4650 0.0000


> What is the formula in the first record?

Be2TcMo


What did the second record say?
Be2TcMo (meta-GGA SCAN, PBEsol geometry); ΔE to the lowest computed polymorph = 261 meV per atom; symmetry = P4/mmm, No. 123; size of the total moment = 0.000 μB/f.u.
1.0
2.9963 0.0000 0.0000
0.0000 2.9963 0.0000
0.0000 0.0000 5.0705
Be Mo Tc
2 1 1
Cartesian
0.0000 0.0000 1.3773
0.0000 0.0000 3.6932
1.4981 1.4981 0.0000
1.4981 1.4981 2.5352